[1]
This record from Alexandria describes crystalline Ge3Te4Au at its relaxed geometry. The functional is PBE.

Values from the calculation:
energy relative to the elements, uncorrected: -0.04 eV per atom
calculated volume: 26.3 Å³/atom
D(E_F): 6.9 states/eV per cell
spin magnetization: 0.000 μB per formula unit
total energy: -60.082 eV for the cell shown

Cell: 12.014 5.884 5.945 Å, 90.00 90.00 90.00°
Atoms (fractional coordinates):
Ge1 0.000 0.250 0.000
Ge2 0.250 0.249 0.501
Ge3 0.250 0.751 0.001
Ge4 0.500 0.750 0.500
Ge5 0.750 0.249 0.501
Ge6 0.750 0.751 0.001
Te1 0.000 0.249 0.477
Te2 0.000 0.749 0.984
Te3 0.249 0.750 0.473
Te4 0.251 0.250 0.973
Te5 0.500 0.251 0.484
Te6 0.500 0.751 0.977
Te7 0.749 0.250 0.973
Te8 0.751 0.750 0.473
Au1 0.000 0.749 0.488
Au2 0.500 0.251 0.988

***

[2]
This record from Alexandria describes crystalline GeTe4Au at its relaxed geometry. The functional is PBE.

Values from the calculation:
energy relative to the elements, uncorrected: -0.03 eV per atom
calculated volume: 27.3 Å³/atom
D(E_F): 6.3 states/eV per cell
spin magnetization: 0.000 μB per formula unit
total energy: -41.223 eV for the cell shown

Cell: 12.981 4.188 7.264 Å, 90.00 123.87 90.00°
Atoms (fractional coordinates):
Ge1 0.000 0.000 0.000
Ge2 0.500 0.500 0.000
Te1 0.144 0.500 0.322
Te2 0.151 0.000 0.818
Te3 0.349 0.500 0.182
Te4 0.356 0.000 0.678
Te5 0.644 0.000 0.322
Te6 0.651 0.500 0.818
Te7 0.849 0.000 0.182
Te8 0.856 0.500 0.678
Au1 0.000 0.500 0.500
Au2 0.500 0.000 0.500

***

[3]
This record from Alexandria describes crystalline GeTe2Au2 at its relaxed geometry. The functional is PBE.

Values from the calculation:
energy relative to the elements, uncorrected: -0.03 eV per atom
calculated volume: 29.6 Å³/atom
D(E_F): 1.6 states/eV per cell
excess energy over the best structure of this formula in the dataset: 0.0 meV per atom
spin magnetization: 0.000 μB per formula unit
total energy: -70.373 eV for the cell shown

Cell: 9.509 7.358 8.470 Å, 90.00 93.76 90.00°
Atoms (fractional coordinates):
Ge1 0.207 0.235 0.205
Ge2 0.207 0.265 0.705
Ge3 0.793 0.735 0.295
Ge4 0.793 0.765 0.795
Te1 0.191 0.734 0.815
Te2 0.191 0.766 0.315
Te3 0.406 0.241 0.460
Te4 0.406 0.259 0.960
Te5 0.594 0.741 0.040
Te6 0.594 0.759 0.540
Te7 0.809 0.234 0.685
Te8 0.809 0.266 0.185
Au1 0.014 0.518 0.183
Au2 0.014 0.982 0.683
Au3 0.324 0.560 0.589
Au4 0.324 0.940 0.089
Au5 0.676 0.060 0.911
Au6 0.676 0.440 0.411
Au7 0.986 0.018 0.317
Au8 0.986 0.482 0.817

***

[4]
This record from Alexandria describes crystalline Ge2TeAu2 at its relaxed geometry. The functional is PBE.

Values from the calculation:
energy relative to the elements, uncorrected: 0.15 eV per atom
calculated volume: 22.2 Å³/atom
D(E_F): 3.5 states/eV per cell
excess energy over the best structure of this formula in the dataset: 81.6 meV per atom
spin magnetization: 0.000 μB per formula unit
total energy: -36.380 eV for the cell shown

Cell: 4.132 4.132 12.990 Å, 90.00 90.00 90.00°
Atoms (fractional coordinates):
Ge1 0.000 0.000 0.107
Ge2 0.000 0.000 0.893
Ge3 0.500 0.500 0.393
Ge4 0.500 0.500 0.607
Te1 0.000 0.000 0.500
Te2 0.500 0.500 0.000
Au1 0.000 0.500 0.250
Au2 0.000 0.500 0.750
Au3 0.500 0.000 0.250
Au4 0.500 0.000 0.750

***

[5]
This record from Alexandria describes crystalline Ge2TeAu3 at its relaxed geometry. The functional is PBE.

Values from the calculation:
energy relative to the elements, uncorrected: 0.09 eV per atom
calculated volume: 26.6 Å³/atom
D(E_F): 4.7 states/eV per cell
spin magnetization: 0.000 μB per formula unit
total energy: -43.365 eV for the cell shown

Cell: 9.137 9.137 10.138 Å, 117.62 117.62 25.40°
Atoms (fractional coordinates):
Ge1 0.046 0.046 0.194
Ge2 0.235 0.235 0.713
Ge3 0.765 0.765 0.287
Ge4 0.954 0.954 0.806
Te1 0.352 0.352 0.222
Te2 0.648 0.648 0.778
Au1 0.165 0.165 0.115
Au2 0.184 0.184 0.433
Au3 0.448 0.448 0.072
Au4 0.552 0.552 0.928
Au5 0.816 0.816 0.567
Au6 0.835 0.835 0.885

***

[6]
This record from Alexandria describes crystalline Ge2Te2Au at its relaxed geometry. The functional is PBE.

Values from the calculation:
energy relative to the elements, uncorrected: 0.17 eV per atom
calculated volume: 25.5 Å³/atom
D(E_F): 7.0 states/eV per cell
excess energy over the best structure of this formula in the dataset: 165.0 meV per atom
spin magnetization: 0.000 μB per formula unit
total energy: -35.902 eV for the cell shown

Cell: 5.663 5.663 7.947 Å, 90.00 90.00 90.00°
Atoms (fractional coordinates):
Ge1 0.000 0.000 0.169
Ge2 0.000 0.000 0.831
Ge3 0.500 0.500 0.331
Ge4 0.500 0.500 0.669
Te1 0.000 0.500 0.250
Te2 0.000 0.500 0.750
Te3 0.500 0.000 0.250
Te4 0.500 0.000 0.750
Au1 0.000 0.000 0.500
Au2 0.500 0.500 0.000